VASP calculation (PBE) on crystalline Tb2B6Os at its relaxed geometry.

abc: 9.182 11.550 3.669
angles: 90.00 90.00 90.00
Fractional coordinates of all 36 atoms:
Tb: 0.556 0.873 0.000
Tb: 0.677 0.586 0.000
Tb: 0.056 0.627 0.000
Tb: 0.823 0.086 0.000
Tb: 0.944 0.373 0.000
Tb: 0.323 0.414 0.000
Tb: 0.177 0.914 0.000
Tb: 0.444 0.127 0.000
B: 0.210 0.733 0.500
B: 0.484 0.287 0.500
B: 0.054 0.067 0.500
B: 0.611 0.031 0.500
B: 0.290 0.233 0.500
B: 0.753 0.920 0.500
B: 0.747 0.420 0.500
B: 0.368 0.814 0.500
B: 0.247 0.080 0.500
B: 0.389 0.969 0.500
B: 0.984 0.213 0.500
B: 0.516 0.713 0.500
B: 0.446 0.567 0.500
B: 0.790 0.267 0.500
B: 0.710 0.767 0.500
B: 0.016 0.787 0.500
B: 0.111 0.469 0.500
B: 0.554 0.433 0.500
B: 0.253 0.580 0.500
B: 0.632 0.186 0.500
B: 0.132 0.314 0.500
B: 0.889 0.531 0.500
B: 0.946 0.933 0.500
B: 0.868 0.686 0.500
Os: 0.363 0.678 0.000
Os: 0.863 0.822 0.000
Os: 0.137 0.178 0.000
Os: 0.637 0.322 0.000

Output
Crystal system = orthorhombic



VASP calculation (PBE) on crystalline PrErBiO2 at its relaxed geometry.

abc: 7.374 7.374 7.374
angles: 149.11 149.11 44.24
Fractional coordinates of all 5 atoms:
Pr: 0.663 0.663 0.000
O: 0.256 0.756 0.500
O: 0.756 0.256 0.500
Bi: 0.995 0.995 0.000
Er: 0.331 0.331 0.000

Output
Crystal system = tetragonal



VASP calculation (PBE) on crystalline HfFeBiPt at its relaxed geometry.

abc: 4.675 4.675 4.675
angles: 60.00 60.00 60.00
Fractional coordinates of all 4 atoms:
Bi: 0.000 0.000 0.000
Hf: 0.250 0.250 0.250
Pt: 0.500 0.500 0.500
Fe: 0.750 0.750 0.750

Output
Energy above the most stable polymorph in this dataset = 0.38 eV per formula unit
Crystal system = cubic



VASP calculation (PBE) on crystalline K2Pd2S3 at its relaxed geometry.

abc: 6.657 6.657 6.657
angles: 68.34 68.34 68.34
Fractional coordinates of all 7 atoms:
K: 0.000 0.000 0.000
K: 0.500 0.500 0.500
S: 0.500 0.000 0.000
S: 0.000 0.500 0.000
S: 0.000 0.000 0.500
Pd: 0.790 0.790 0.790
Pd: 0.210 0.210 0.210

Output
Energy above the most stable polymorph in this dataset = 0.07 eV per formula unit
Crystal system = trigonal



VASP calculation (PBE) on crystalline TePbAu at its relaxed geometry.

abc: 6.703 4.550 11.367
angles: 90.00 90.00 90.00
Fractional coordinates of all 12 atoms:
Pb: 0.148 0.250 0.587
Pb: 0.352 0.750 0.087
Pb: 0.648 0.250 0.913
Pb: 0.852 0.750 0.413
Te: 0.393 0.750 0.377
Te: 0.107 0.250 0.877
Te: 0.607 0.250 0.623
Te: 0.893 0.750 0.123
Au: 0.386 0.250 0.244
Au: 0.614 0.750 0.756
Au: 0.886 0.250 0.256
Au: 0.114 0.750 0.744

Output
Crystal system = orthorhombic



VASP calculation (PBE) on crystalline Rb2CuBiF6 at its relaxed geometry.

abc: 5.796 5.796 12.021
angles: 90.00 90.00 120.00
Fractional coordinates of all 20 atoms:
Rb: 0.333 0.667 0.562
Rb: 0.667 0.333 0.438
Rb: 0.667 0.333 0.062
Rb: 0.333 0.667 0.938
Cu: 0.000 0.000 0.750
Cu: 0.000 0.000 0.250
F: 0.116 0.787 0.128
F: 0.884 0.213 0.872
F: 0.671 0.787 0.372
F: 0.884 0.671 0.628
F: 0.116 0.329 0.372
F: 0.329 0.116 0.872
F: 0.671 0.884 0.128
F: 0.787 0.671 0.872
F: 0.329 0.213 0.628
F: 0.213 0.329 0.128
F: 0.213 0.884 0.372
F: 0.787 0.116 0.628
Bi: 0.667 0.333 0.750
Bi: 0.333 0.667 0.250

Output
Energy above the most stable polymorph in this dataset = 0.71 eV per formula unit
Crystal system = trigonal



Electronic total energy: -7.36, -7.28, -7.10, -3.94, -3.49, -4.25 (eV per atom)